Entry 1:
{
  "formula": "TmMn4Al",
  "functional": "PBE",
  "state": "optimized geometry",
  "lattice_angstrom": [[-2.922, 1.045, 3.773], [1.221, -1.438, 4.506], [1.389, 3.299, 3.325]],
  "species": ["Tm", "Al", "Mn", "Mn", "Mn", "Mn"],
  "frac_coords": [[0.250, 0.250, 0.250], [0.000, 0.000, 0.000], [0.626, 0.626, 0.121], [0.626, 0.121, 0.626], [0.626, 0.626, 0.626], [0.121, 0.626, 0.626]],
  "final_energy_ev_per_atom": -7.50,
  "magnetic_moment_mub_per_fu": 1.4,
  "vol_a3_per_cell": 82,
  "sg": "F-43m (216)"
}

Entry 2:
{
  "formula": "ZrTiMoRu",
  "functional": "PBE",
  "state": "optimized geometry",
  "lattice_angstrom": [[-3.719, -2.368, 1.116], [-0.229, -4.446, -0.929], [0.168, -3.040, 3.378]],
  "species": ["Ru", "Mo", "Zr", "Ti"],
  "frac_coords": [[0.750, 0.750, 0.750], [0.250, 0.250, 0.250], [0.000, 0.000, 0.000], [0.500, 0.500, 0.500]],
  "final_energy_ev_per_atom": -9.44,
  "magnetic_moment_mub_per_fu": 0.0,
  "vol_a3_per_cell": 67,
  "sg": "F-43m (216)"
}

Entry 3:
{
  "formula": "BeFe2Cl",
  "functional": "PBE",
  "state": "optimized geometry",
  "lattice_angstrom": [[-0.550, 4.397, -0.748], [-4.033, 1.289, 1.505], [3.324, -2.319, 1.940]],
  "species": ["Be", "Fe", "Fe", "Cl"],
  "frac_coords": [[0.250, 0.750, 0.500], [0.000, 0.000, 0.000], [0.500, 0.500, 0.000], [0.750, 0.250, 0.500]],
  "final_energy_ev_per_atom": -4.91,
  "magnetic_moment_mub_per_fu": 4.9,
  "vol_a3_per_cell": 49,
  "formation_energy_uncorrected_ev_per_atom": 0.714,
  "sg": "I4/mmm (139)",
  "de_polymorph_mev_per_atom": 630
}

Entry 4:
{
  "formula": "La4DyBi5",
  "functional": "PBE",
  "state": "optimized geometry",
  "lattice_angstrom": [[5.946, 0.000, 2.868], [2.973, 7.369, 1.434], [-0.228, 0.000, 8.071]],
  "species": ["La", "La", "La", "La", "Dy", "Bi", "Bi", "Bi", "Bi", "Bi"],
  "frac_coords": [[0.403, 0.398, 0.797], [0.801, 0.797, 0.602], [0.201, 0.203, 0.398], [0.599, 0.602, 0.203], [0.001, 0.000, 0.000], [0.903, 0.392, 0.805], [0.294, 0.805, 0.608], [0.708, 0.195, 0.392], [0.099, 0.608, 0.195], [0.501, 0.000, 0.000]],
  "final_energy_ev_per_atom": -5.38,
  "magnetic_moment_mub_per_fu": 0.0,
  "vol_a3_per_cell": 358,
  "sg": "I4/m (87)"
}

What did the second record say?
{
  "formula": "ZrTiMoRu",
  "functional": "PBE",
  "state": "optimized geometry",
  "lattice_angstrom": [[-3.719, -2.368, 1.116], [-0.229, -4.446, -0.929], [0.168, -3.040, 3.378]],
  "species": ["Ru", "Mo", "Zr", "Ti"],
  "frac_coords": [[0.750, 0.750, 0.750], [0.250, 0.250, 0.250], [0.000, 0.000, 0.000], [0.500, 0.500, 0.500]],
  "final_energy_ev_per_atom": -9.44,
  "magnetic_moment_mub_per_fu": 0.0,
  "vol_a3_per_cell": 67,
  "sg": "F-43m (216)"
}